[1]
A plane-wave DFT calculation with PBE was carried out for an optimized crystal structure of ScBeCl2.

The structure in POSCAR format:
```
ScBeCl2
1.0
-2.768 2.768 5.132
2.768 -2.768 5.132
2.768 2.768 -5.132
Sc Be Cl
2 2 4
direct
0.000 0.000 0.000
0.750 0.250 0.500
0.250 0.750 0.500
0.500 0.500 0.000
0.208 0.625 0.083
0.375 0.458 0.583
0.542 0.125 0.917
0.875 0.792 0.417
```

As for the uncorrected formation energy: -233 meV/atom. The calculation puts the size of the total moment at 1.0 μB per formula unit. The value obtained for the relative energy among the computed polymorphs is 681.3 meV per atom. As for the space group: I-42d, No. 122.



[2]
A plane-wave DFT calculation with PBE was carried out for an optimized crystal structure of Sc3BeCl.

The structure in POSCAR format:
```
Sc3BeCl
1.0
4.712 0.000 0.000
0.000 4.712 0.000
0.000 0.000 4.712
Sc Be Cl
3 1 1
direct
0.000 0.000 0.500
0.000 0.500 0.000
0.500 0.000 0.000
0.500 0.500 0.500
0.000 0.000 0.000
```

As for the uncorrected formation energy: -91 meV/atom. The calculation puts the size of the total moment at 0.0 μB per formula unit. The value obtained for the relative energy among the computed polymorphs is 0.0 meV per atom. As for the space group: Pm-3m, No. 221.



Raw total energy (eV/cell)
-29.364, -25.023
D(E_F) (states/eV per atom)
0.742, 0.418